# PBE with a Hubbard U Ba3TlFe2O9, optimized geometry
# calculated total energy = -5.928 eV per atom
# density of states at the Fermi level = 11.254 states/eV/f.u.
# magnetization = 7.6 μB/cell
# calculated volume = 14.174 Å³/atom
data_Ba3TlFe2O9
_space_group_name_H-M_alt 'P -3 m 1'
_space_group_IT_number 164
_space_group_name_Hall '-P 3 2"'
_cell_length_a 5.8421
_cell_length_b 5.8421
_cell_length_c 7.1931
_cell_angle_alpha 90.00
_cell_angle_beta 90.00
_cell_angle_gamma 120.00
loop_
_atom_site_label
_atom_site_type_symbol
_atom_site_fract_x
_atom_site_fract_y
_atom_site_fract_z
Ba1 Ba 0.0000 0.0000 0.0000
Ba2 Ba 0.3333 0.6667 0.6723
Tl1 Tl 0.0000 0.0000 0.5000
Fe1 Fe 0.3333 0.6667 0.1591
O1 O 0.0000 0.5000 0.0000
O2 O 0.1765 0.3530 0.3161